Density functional theory data (PBE) for a relaxed Sc4Tl2Pb crystal.

## Properties
- space group = R-3m (166)
- uncorrected energy (eV per atom) = -4.975

a = 4.9953 Å, b = 4.9953 Å, c = 8.7877 Å
α = 73.49°, β = 73.49°, γ = 60.00°
With the nearest neighbours (Å) after each atom.
Element x y z (fractional)
Sc (0.8748, 0.8748, 0.3757)  4 Tl 2.89-3.00, 1 Pb 3.12
Sc (0.1252, 0.1252, 0.6243)  4 Tl 2.89-3.00, 1 Pb 3.12
Sc (0.6198, 0.6198, 0.1406)  4 Tl 3.10-3.46, 3 Pb 3.11
Sc (0.3802, 0.3802, 0.8594)  4 Tl 3.10-3.46, 3 Pb 3.11
Tl (0.7588, 0.7588, 0.7237)  7 Sc 2.89-3.10
Tl (0.2412, 0.2412, 0.2763)  7 Sc 2.89-3.10
Pb (0.0000, 0.0000, 0.0000)  8 Sc 3.11-3.12